First-principles (PBE) data for crystalline Pr2HgBi at its relaxed geometry, as listed in Alexandria.

Results
As for the spin magnetization: 0.00 μB/f.u. The calculated volume comes out at 33.082 A^3/atom. The total energy is -4.0811 eV per atom. The value obtained for the energy of formation is -62.3 kJ per mole of atoms. The value obtained for the distance to the lowest polymorph of the same formula is 0 meV/atom. Its space group is No. 63.

Geometry as CIF:
```
data_Pr2HgBi
_chemical_formula_sum 'Pr4 Hg2 Bi2'
_cell_length_a 4.8013
_cell_length_b 4.3788
_cell_length_c 12.7772
_cell_angle_alpha 99.87
_cell_angle_beta 90.00
_cell_angle_gamma 90.00
_space_group_name_H-M_alt 'P 1'
_space_group_IT_number 1
_space_group_name_Hall 'P 1'
loop_
_atom_site_label
_atom_site_fract_x
_atom_site_fract_y
_atom_site_fract_z
_atom_site_occupancy
Bi1 0.7500 0.8114 0.6227 1
Bi2 0.2500 0.1886 0.3773 1
Hg1 0.2500 0.4571 0.9143 1
Hg2 0.7500 0.5429 0.0857 1
Pr1 0.2500 0.3179 0.6358 1
Pr2 0.7500 0.9377 0.8754 1
Pr3 0.2500 0.0623 0.1246 1
Pr4 0.7500 0.6821 0.3642 1
```

---

First-principles (PBE) data for crystalline Pr8Hg3Bi2 at its relaxed geometry, as listed in Alexandria.

Results
As for the spin magnetization: 0.00 μB/f.u. The calculated volume comes out at 34.373 A^3/atom. The total energy is -3.9433 eV per atom. The value obtained for the energy of formation is -32.4 kJ per mole of atoms. Its space group is No. 12.

Geometry as CIF:
```
data_Pr8Hg3Bi2
_chemical_formula_sum 'Pr8 Hg3 Bi2'
_cell_length_a 6.5624
_cell_length_b 8.5375
_cell_length_c 9.0603
_cell_angle_alpha 118.11
_cell_angle_beta 93.20
_cell_angle_gamma 90.00
_space_group_name_H-M_alt 'P 1'
_space_group_IT_number 1
_space_group_name_Hall 'P 1'
loop_
_atom_site_label
_atom_site_fract_x
_atom_site_fract_y
_atom_site_fract_z
_atom_site_occupancy
Pr1 0.1289 0.4147 0.8294 1
Pr2 0.8711 0.5853 0.1706 1
Pr3 0.1463 0.8273 0.6547 1
Pr4 0.3748 0.4050 0.2284 1
Pr5 0.8537 0.1727 0.3453 1
Pr6 0.6252 0.5950 0.7716 1
Pr7 0.6252 0.1766 0.7716 1
Pr8 0.3748 0.8234 0.2284 1
Hg1 0.5000 0.0000 0.0000 1
Hg2 0.0000 0.8300 0.0000 1
Hg3 0.0000 0.1700 0.0000 1
Bi1 0.3549 0.2430 0.4861 1
Bi2 0.6451 0.7570 0.5139 1
```

---

First-principles (PBE) data for crystalline Pr3Hg5Bi at its relaxed geometry, as listed in Alexandria.

Results
As for the spin magnetization: 0.00 μB/f.u. The calculated volume comes out at 27.661 A^3/atom. The total energy is -2.6633 eV per atom. The value obtained for the energy of formation is -45.5 kJ per mole of atoms. Its space group is No. 193.

Geometry as CIF:
```
data_Pr3Hg5Bi
_chemical_formula_sum 'Pr6 Hg10 Bi2'
_cell_length_a 6.6362
_cell_length_b 9.3077
_cell_length_c 9.3078
_cell_angle_alpha 120.00
_cell_angle_beta 90.00
_cell_angle_gamma 90.00
_space_group_name_H-M_alt 'P 1'
_space_group_IT_number 1
_space_group_name_Hall 'P 1'
loop_
_atom_site_label
_atom_site_fract_x
_atom_site_fract_y
_atom_site_fract_z
_atom_site_occupancy
Hg1 0.5000 0.6667 0.3333 1
Hg2 0.2500 0.3519 0.3519 1
Hg3 0.0000 0.6667 0.3333 1
Hg4 0.5000 0.3333 0.6667 1
Hg5 0.2500 0.6481 0.0000 1
Hg6 0.7500 0.0000 0.3519 1
Hg7 0.7500 0.6481 0.6481 1
Hg8 0.0000 0.3333 0.6667 1
Hg9 0.2500 0.0000 0.6481 1
Hg10 0.7500 0.3519 0.0000 1
Pr1 0.2500 0.0000 0.3217 1
Pr2 0.7500 0.3217 0.3217 1
Pr3 0.2500 0.6783 0.6783 1
Pr4 0.2500 0.3218 0.0000 1
Pr5 0.7500 0.0000 0.6783 1
Pr6 0.7500 0.6782 0.0000 1
Bi1 0.0000 0.0000 0.0000 1
Bi2 0.5000 0.0000 0.0000 1
```

---

First-principles (PBE) data for crystalline Pr3HgBi at its relaxed geometry, as listed in Alexandria.

Results
As for the spin magnetization: 0.00 μB/f.u. The calculated volume comes out at 33.581 A^3/atom. The total energy is -4.1857 eV per atom. The value obtained for the energy of formation is -46.5 kJ per mole of atoms. Its space group is No. 15.

Geometry as CIF:
```
data_Pr3HgBi
_chemical_formula_sum 'Pr12 Hg4 Bi4'
_cell_length_a 9.0743
_cell_length_b 8.6111
_cell_length_c 8.6111
_cell_angle_alpha 86.51
_cell_angle_beta 90.00
_cell_angle_gamma 90.00
_space_group_name_H-M_alt 'P 1'
_space_group_IT_number 1
_space_group_name_Hall 'P 1'
loop_
_atom_site_label
_atom_site_fract_x
_atom_site_fract_y
_atom_site_fract_z
_atom_site_occupancy
Hg1 0.1314 0.2991 0.1992 1
Hg2 0.6314 0.1992 0.2991 1
Hg3 0.3686 0.8008 0.7009 1
Hg4 0.8686 0.7009 0.8008 1
Pr1 0.4157 0.1960 0.9949 1
Pr2 0.3239 0.0679 0.4321 1
Pr3 0.6761 0.9321 0.5679 1
Pr4 0.1761 0.5679 0.9321 1
Pr5 0.0842 0.6966 0.4960 1
Pr6 0.4158 0.5040 0.3035 1
Pr7 0.9158 0.3034 0.5040 1
Pr8 0.9157 0.9949 0.1960 1
Pr9 0.0843 0.0051 0.8040 1
Pr10 0.5842 0.4960 0.6965 1
Pr11 0.8239 0.4321 0.0679 1
Pr12 0.5843 0.8040 0.0051 1
Bi1 0.7500 0.1529 0.8471 1
Bi2 0.7500 0.6520 0.3480 1
Bi3 0.2500 0.3480 0.6520 1
Bi4 0.2500 0.8471 0.1529 1
```

---

First-principles (PBE) data for crystalline Pr4HgBi5 at its relaxed geometry, as listed in Alexandria.

Results
As for the spin magnetization: 0.00 μB/f.u. The calculated volume comes out at 33.127 A^3/atom. The total energy is -4.5696 eV per atom. The value obtained for the energy of formation is -66.3 kJ per mole of atoms. Its space group is No. 71.

Geometry as CIF:
```
data_Pr4HgBi5
_chemical_formula_sum 'Pr4 Hg1 Bi5'
_cell_length_a 4.5656
_cell_length_b 8.8308
_cell_length_c 8.8308
_cell_angle_alpha 82.05
_cell_angle_beta 75.02
_cell_angle_gamma 75.02
_space_group_name_H-M_alt 'P 1'
_space_group_IT_number 1
_space_group_name_Hall 'P 1'
loop_
_atom_site_label
_atom_site_fract_x
_atom_site_fract_y
_atom_site_fract_z
_atom_site_occupancy
Bi1 0.5842 0.3434 0.9883 1
Bi2 0.7500 0.5000 0.5000 1
Bi3 0.9158 0.6566 0.0117 1
Bi4 0.5842 0.9883 0.3434 1
Bi5 0.9158 0.0117 0.6566 1
Hg1 0.2500 0.0000 0.0000 1
Pr1 0.5027 0.7473 0.7473 1
Pr2 0.2500 0.7079 0.2921 1
Pr3 0.2500 0.2921 0.7079 1
Pr4 0.9973 0.2527 0.2527 1
```

---

First-principles (PBE) data for crystalline Pr7Hg2Bi2 at its relaxed geometry, as listed in Alexandria.

Results
As for the spin magnetization: 0.00 μB/f.u. The calculated volume comes out at 36.379 A^3/atom. The total energy is -4.0152 eV per atom. The value obtained for the energy of formation is -20.6 kJ per mole of atoms. Its space group is No. 65.

Geometry as CIF:
```
data_Pr7Hg2Bi2
_chemical_formula_sum 'Pr7 Hg2 Bi2'
_cell_length_a 7.6807
_cell_length_b 6.8664
_cell_length_c 7.6807
_cell_angle_alpha 90.00
_cell_angle_beta 98.91
_cell_angle_gamma 90.00
_space_group_name_H-M_alt 'P 1'
_space_group_IT_number 1
_space_group_name_Hall 'P 1'
loop_
_atom_site_label
_atom_site_fract_x
_atom_site_fract_y
_atom_site_fract_z
_atom_site_occupancy
Pr1 0.0002 0.7386 0.4997 1
Pr2 0.4997 0.2614 0.0002 1
Pr3 0.0000 0.0000 0.0000 1
Pr4 0.9998 0.2614 0.5003 1
Pr5 0.5002 0.7470 0.4998 1
Pr6 0.5003 0.7386 0.9998 1
Pr7 0.4998 0.2530 0.5002 1
Hg1 0.2713 0.0000 0.7287 1
Hg2 0.7287 0.0000 0.2713 1
Bi1 0.8098 0.5000 0.8098 1
Bi2 0.1902 0.5000 0.1902 1
```

---

First-principles (PBE) data for crystalline Pr5HgBi2 at its relaxed geometry, as listed in Alexandria.

Results
As for the spin magnetization: 0.00 μB/f.u. The calculated volume comes out at 31.062 A^3/atom. The total energy is -4.5046 eV per atom. The value obtained for the energy of formation is -49.2 kJ per mole of atoms. Its space group is No. 107.

Geometry as CIF:
```
data_Pr5HgBi2
_chemical_formula_sum 'Pr5 Hg1 Bi2'
_cell_length_a 7.3496
_cell_length_b 7.3497
_cell_length_c 6.9391
_cell_angle_alpha 121.95
_cell_angle_beta 121.95
_cell_angle_gamma 90.04
_space_group_name_H-M_alt 'P 1'
_space_group_IT_number 1
_space_group_name_Hall 'P 1'
loop_
_atom_site_label
_atom_site_fract_x
_atom_site_fract_y
_atom_site_fract_z
_atom_site_occupancy
Pr1 0.2216 0.2216 0.9442 1
Pr2 0.2220 0.7223 0.9443 1
Pr3 0.7211 0.7211 0.4422 1
Pr4 0.7223 0.2220 0.9443 1
Pr5 0.7227 0.7227 0.9443 1
Bi1 0.7221 0.2221 0.4442 1
Bi2 0.2221 0.7221 0.4442 1
Hg1 0.2231 0.2231 0.4463 1
```

---

First-principles (PBE) data for crystalline PrHgBi2 at its relaxed geometry, as listed in Alexandria.

Results
As for the spin magnetization: 0.00 μB/f.u. The calculated volume comes out at 29.722 A^3/atom. The total energy is -3.6804 eV per atom. The value obtained for the energy of formation is -45.3 kJ per mole of atoms. The value obtained for the distance to the lowest polymorph of the same formula is 8 meV/atom. Its space group is No. 129.

Geometry as CIF:
```
data_PrHgBi2
_chemical_formula_sum 'Pr2 Hg2 Bi4'
_cell_length_a 4.7072
_cell_length_b 4.7072
_cell_length_c 10.7310
_cell_angle_alpha 90.00
_cell_angle_beta 90.00
_cell_angle_gamma 90.00
_space_group_name_H-M_alt 'P 1'
_space_group_IT_number 1
_space_group_name_Hall 'P 1'
loop_
_atom_site_label
_atom_site_fract_x
_atom_site_fract_y
_atom_site_fract_z
_atom_site_occupancy
Bi1 0.5000 0.0000 0.2241 1
Bi2 0.0000 0.0000 0.5000 1
Bi3 0.0000 0.5000 0.7759 1
Bi4 0.5000 0.5000 0.5000 1
Pr1 0.5000 0.0000 0.7483 1
Pr2 0.0000 0.5000 0.2517 1
Hg1 0.0000 0.0000 0.0000 1
Hg2 0.5000 0.5000 0.0000 1
```

---

Question: What is the calculated volume in the sixth record?
Answer: 36.379 A^3/atom